Entry from Alexandria: a relaxed structure of CrBiRh2 (PBE).

Results
E_form	0.15	eV/f.u.
M_tot	3.59	μB per cell
space-group type	P4/mmm (123)

a = 4.175 Å, b = 4.175 Å, c = 3.838 Å
α = 90.00°, β = 90.00°, γ = 90.00°
Fractional positions:
Cr 0.000 0.000 0.000
Bi 0.500 0.500 0.000
Rh 0.000 0.500 0.500
Rh 0.500 0.000 0.500